The following is a SCAN calculation of a crystal of LiLa4AlO8 relaxed with PBEsol, from the Alexandria database.

Computed properties:
Formation energy (no corrections) ... -3.53 eV/atom
Calculated total energy ... -20.13 eV per atom

Geometry as CIF:
```
data_LiLa4AlO8
_space_group_name_H-M_alt 'C m m m'
_space_group_IT_number 65
_space_group_name_Hall '-C 2 2'
_cell_length_a 5.302
_cell_length_b 12.553
_cell_length_c 5.318
_cell_angle_alpha 90.00
_cell_angle_beta 90.00
_cell_angle_gamma 90.00
loop_
_atom_site_label
_atom_site_fract_x
_atom_site_fract_y
_atom_site_fract_z
Li1 0.000 0.000 0.000
La1 0.000 0.136 0.500
La2 0.000 0.364 0.000
Al1 0.000 0.500 0.500
O1 0.000 0.180 0.000
O2 0.000 0.331 0.500
O3 0.245 0.500 0.259
```